The following is a PBE with a Hubbard U calculation of a geometry-optimized Ba6Na2Mn2Ru2O17 structure, from the Alexandria database.

Structure (extended XYZ):
```
58
Lattice="-0.906 -5.445 -2.135 4.148 3.469 -2.405 20.353 -10.952 19.299" Properties=species:S:1:pos:R:3 pbc="T T T"
O 4.742 1.096 -0.948
O 20.805 -12.391 14.575
O 17.371 -6.581 13.180
O 11.520 -5.342 4.878
O 6.224 -6.346 1.579
O 11.649 -10.148 8.877
O 2.790 -0.536 0.184
O 4.737 -5.440 3.662
O 4.316 -1.466 -1.953
O 9.994 -4.412 7.014
O 16.464 -8.001 9.568
O 10.872 -7.905 7.346
O 18.858 -7.488 11.097
O 18.201 -8.827 14.793
O 6.705 -7.485 4.188
O 22.733 -10.409 16.905
O 12.723 -5.023 7.414
O 16.955 -9.079 12.201
O 12.075 -7.585 9.881
O 3.445 -5.731 1.097
O 5.395 -4.100 -0.034
O 0.862 -2.518 -2.146
O 19.724 -9.756 12.659
O 19.279 -11.461 16.712
O 13.601 -8.515 7.745
O 6.640 -3.848 2.558
O 14.940 -7.073 11.702
O 3.871 -3.172 2.100
O 11.946 -2.780 5.882
O 8.655 -5.855 3.057
O 18.853 -14.024 15.707
O 20.150 -7.197 13.662
O 7.131 -4.926 5.191
O 16.890 -5.442 10.571
Mn 12.017 -8.521 8.431
Mn 3.524 -0.073 -1.309
Mn 11.578 -4.407 6.328
Mn 20.071 -12.854 16.068
Na 2.529 -1.361 2.398
Na 17.824 -9.591 16.901
Na 7.648 -4.115 7.251
Na 12.706 -6.837 12.048
Ba 6.122 -1.471 1.154
Ba 9.084 -6.942 5.650
Ba 15.265 -8.214 14.474
Ba 8.981 -3.009 3.865
Ba 17.473 -11.457 13.605
Ba 0.000 0.000 0.000
Ba 10.177 -5.476 9.650
Ba 5.088 -2.738 4.825
Ba 2.650 -3.481 -0.450
Ba 20.945 -9.447 15.209
Ba 14.511 -5.985 9.109
Ba 14.614 -9.918 10.894
Ru 6.809 -5.718 3.493
Ru 16.786 -7.209 11.266
Ru 4.925 -4.705 1.707
Ru 18.670 -8.223 13.053
```

Results
**DOS at the Fermi energy**: 0.19 states/eV/f.u.
**E**: -6.473 eV per atom